VASP calculation (PBE-GGA) on NaB3Ir3 after structural relaxation.

Summary:
E above lowest polymorph = 160 meV/atom

Unit cell a=5.9080 b=5.9092 c=7.9533 alpha=68.18 beta=68.17 gamma=60.00
Last column: nearest neighbours and their distance in Å.
Positions (direct):
Na (0.6626, 0.6626, 0.0123)  6 B 2.81-3.03
Na (0.3374, 0.3374, 0.9877)  6 B 2.81-3.03
B (0.5087, 0.7580, 0.6890)  3 Ir 2.02-2.14
B (0.7580, 0.0443, 0.6889)  3 Ir 2.02-2.14
B (0.0443, 0.5086, 0.6890)  3 Ir 2.02-2.14
B (0.9557, 0.4914, 0.3110)  3 Ir 2.02-2.14
B (0.2420, 0.9557, 0.3111)  3 Ir 2.02-2.14
B (0.4913, 0.2420, 0.3110)  3 Ir 2.02-2.14
Ir (0.1952, 0.5974, 0.3656)  3 B 2.02-2.14
Ir (0.8419, 0.1952, 0.3656)  3 B 2.02-2.14
Ir (0.5975, 0.8419, 0.3655)  3 B 2.02-2.14
Ir (0.4025, 0.1581, 0.6345)  3 B 2.02-2.14
Ir (0.1581, 0.8048, 0.6344)  3 B 2.02-2.14
Ir (0.8048, 0.4026, 0.6344)  3 B 2.02-2.14



VASP calculation (PBE-GGA) on Na3BIr after structural relaxation.

Summary:
E above lowest polymorph = 0 meV/atom

Unit cell a=4.8463 b=4.8463 c=4.8463 alpha=90.00 beta=90.00 gamma=90.00
Last column: nearest neighbours and their distance in Å.
Positions (direct):
Na (0.0000, 0.5000, 0.0000)  2 B 2.42
Na (0.0000, 0.0000, 0.5000)  2 B 2.42
Na (0.5000, 0.0000, 0.0000)  2 B 2.42
B (0.0000, 0.0000, 0.0000)  6 Na 2.42
Ir (0.5000, 0.5000, 0.5000)  12 Na 3.43



VASP calculation (PBE-GGA) on NaBIr3 after structural relaxation.

Summary:
total energy = -6.7301 eV/atom

Unit cell a=4.1554 b=4.1554 c=4.1554 alpha=90.00 beta=90.00 gamma=90.00
Last column: nearest neighbours and their distance in Å.
Positions (direct):
Na (0.5000, 0.5000, 0.5000)  12 Ir 2.94
B (0.0000, 0.0000, 0.0000)  6 Ir 2.08
Ir (0.0000, 0.5000, 0.0000)  2 B 2.08
Ir (0.0000, 0.0000, 0.5000)  2 B 2.08
Ir (0.5000, 0.0000, 0.0000)  2 B 2.08



VASP calculation (PBE-GGA) on NaBIr2 after structural relaxation.

Summary:
total energy = -6.3267 eV/atom

Unit cell a=2.7915 b=2.7915 c=8.7485 alpha=80.82 beta=80.82 gamma=60.00
Last column: nearest neighbours and their distance in Å.
Positions (direct):
Na (0.0000, 0.0000, 0.0000)  6 Na 2.79, 2 Ir 2.81
B (0.5000, 0.5000, 0.5000)  6 Ir 2.20
Ir (0.1089, 0.1089, 0.6734)  3 B 2.20
Ir (0.8911, 0.8911, 0.3266)  3 B 2.20



VASP calculation (PBE-GGA) on Na2B7Ir12 after structural relaxation.

Summary:
total energy = -7.4954 eV/atom

Unit cell a=3.9249 b=8.8454 c=8.8454 alpha=120.00 beta=90.00 gamma=90.00
Last column: nearest neighbours and their distance in Å.
Positions (direct):
Na (0.5021, 0.0000, 0.0000)  9 Ir 2.87-3.06, 6 B 2.90-2.92
Na (0.0015, 0.6667, 0.3333)  6 B 2.95-2.96, 9 Ir 2.96-3.04
B (0.9487, 0.3333, 0.6667)  3 Ir 2.09
B (0.0060, 0.0070, 0.7605)  4 Ir 2.08-2.31
B (0.0060, 0.7534, 0.9930)  4 Ir 2.08-2.31
B (0.0060, 0.2395, 0.2466)  4 Ir 2.08-2.31
B (0.5010, 0.6131, 0.5521)  5 Ir 2.15-2.37
B (0.5010, 0.9390, 0.3869)  5 Ir 2.15-2.37
B (0.5010, 0.4479, 0.0610)  5 Ir 2.15-2.37
Ir (0.5016, 0.8797, 0.6099)  4 B 2.15-2.34
Ir (0.5016, 0.7302, 0.1203)  4 B 2.15-2.34
Ir (0.5016, 0.3901, 0.2698)  4 B 2.15-2.34
Ir (0.5026, 0.2447, 0.7918)  2 B 2.15-2.40
Ir (0.5026, 0.5471, 0.7553)  2 B 2.15-2.40
Ir (0.5026, 0.2082, 0.4528)  2 B 2.15-2.40
Ir (0.0029, 0.0626, 0.5535)  2 B 2.09-2.12
Ir (0.0029, 0.4909, 0.9374)  2 B 2.09-2.12
Ir (0.0029, 0.4465, 0.5091)  2 B 2.09-2.12
Ir (0.0018, 0.7708, 0.7574)  2 B 2.08-2.17
Ir (0.0018, 0.9866, 0.2292)  2 B 2.08-2.17
Ir (0.0018, 0.2426, 0.0134)  2 B 2.08-2.17



VASP calculation (PBE-GGA) on NaBIr3 after structural relaxation.

Summary:
total energy = -3.7220 eV/atom

Unit cell a=4.4557 b=4.4557 c=4.4557 alpha=90.00 beta=90.00 gamma=90.00
Last column: nearest neighbours and their distance in Å.
Positions (direct):
Na (0.0000, 0.0000, 0.0000)  6 Ir 2.23
B (0.5000, 0.5000, 0.5000)  12 Ir 3.15
Ir (0.0000, 0.5000, 0.0000)  2 Na 2.23
Ir (0.0000, 0.0000, 0.5000)  2 Na 2.23
Ir (0.5000, 0.0000, 0.0000)  2 Na 2.23



VASP calculation (PBE-GGA) on NaB2Ir after structural relaxation.

Summary:
E above lowest polymorph = 35 meV/atom

Unit cell a=4.7221 b=4.7221 c=7.1715 alpha=70.78 beta=70.78 gamma=90.00
Last column: nearest neighbours and their distance in Å.
Positions (direct):
Na (0.5000, 0.5000, 0.0000)  8 B 3.08, 4 Ir 3.34
Na (0.2500, 0.7500, 0.5000)  8 B 3.08, 4 Ir 3.34
B (0.8750, 0.1250, 0.2500)  2 Ir 1.98
B (0.8750, 0.6250, 0.2500)  2 Ir 1.98
B (0.3750, 0.1250, 0.7500)  2 Ir 1.98
B (0.8750, 0.1250, 0.7500)  2 Ir 1.98
Ir (0.0000, 0.0000, 0.0000)  4 B 1.98
Ir (0.7500, 0.2500, 0.5000)  4 B 1.98



VASP calculation (PBE-GGA) on NaB2Ir after structural relaxation.

Summary:
E above lowest polymorph = 0 meV/atom

Unit cell a=3.6625 b=3.6625 c=5.5266 alpha=70.65 beta=70.65 gamma=60.00
Last column: nearest neighbours and their distance in Å.
Positions (direct):
Na (0.0000, 0.0000, 0.0000)  2 B 2.74
B (0.1787, 0.1787, 0.4638)  3 Ir 2.12, 3 B 2.15
B (0.8213, 0.8213, 0.5362)  3 Ir 2.12, 3 B 2.15
Ir (0.5000, 0.5000, 0.5000)  6 B 2.12



VASP calculation (PBE-GGA) on NaBIr2 after structural relaxation.

Summary:
total energy = -5.8752 eV/atom

Unit cell a=4.8553 b=4.8553 c=7.7151 alpha=71.66 beta=71.66 gamma=90.00
Last column: nearest neighbours and their distance in Å.
Positions (direct):
Na (0.0000, 0.0000, 0.0000)  8 Ir 3.16-3.28, 4 B 3.43
Na (0.7500, 0.2500, 0.5000)  8 Ir 3.16-3.28, 4 B 3.43
B (0.5000, 0.5000, 0.0000)  4 Ir 2.11
B (0.2500, 0.7500, 0.5000)  4 Ir 2.11
Ir (0.3917, 0.1250, 0.2500)  2 B 2.11
Ir (0.3583, 0.6250, 0.2500)  2 B 2.11
Ir (0.3750, 0.6083, 0.7500)  2 B 2.11
Ir (0.8750, 0.6417, 0.7500)  2 B 2.11



VASP calculation (PBE-GGA) on NaB2Ir3 after structural relaxation.

Summary:
total energy = -7.1308 eV/atom

Unit cell a=2.8572 b=5.6863 c=5.6863 alpha=119.98 beta=90.00 gamma=90.00
Last column: nearest neighbours and their distance in Å.
Positions (direct):
Na (0.0000, 0.0016, 0.0016)  2 Na 2.86, 12 Ir 3.18-3.19
B (0.0000, 0.6678, 0.3343)  6 Ir 2.18
B (0.0000, 0.3344, 0.6678)  6 Ir 2.18
Ir (0.5000, 0.5016, 0.0012)  4 B 2.18
Ir (0.5000, 0.0012, 0.5016)  4 B 2.18
Ir (0.5000, 0.5011, 0.5010)  4 B 2.18



VASP calculation (PBE-GGA) on NaB3Ir after structural relaxation.

Summary:
E above lowest polymorph = 2444 meV/atom

Unit cell a=4.0557 b=4.0557 c=4.0557 alpha=90.00 beta=90.00 gamma=90.00
Last column: nearest neighbours and their distance in Å.
Positions (direct):
Na (0.0000, 0.0000, 0.0000)  6 B 2.03
B (0.0000, 0.5000, 0.0000)  2 Na 2.03
B (0.0000, 0.0000, 0.5000)  2 Na 2.03
B (0.5000, 0.0000, 0.0000)  2 Na 2.03
Ir (0.5000, 0.5000, 0.5000)  12 B 2.87



VASP calculation (PBE-GGA) on NaB2Ir after structural relaxation.

Summary:
E above lowest polymorph = 655 meV/atom

Unit cell a=3.9145 b=3.9145 c=3.9145 alpha=60.00 beta=60.00 gamma=60.00
Last column: nearest neighbours and their distance in Å.
Positions (direct):
Na (0.0000, 0.0000, 0.0000)  8 B 2.40
B (0.2500, 0.2500, 0.2500)  4 Na 2.40, 4 Ir 2.40
B (0.7500, 0.7500, 0.7500)  4 Na 2.40, 4 Ir 2.40
Ir (0.5000, 0.5000, 0.5000)  8 B 2.40



VASP calculation (PBE-GGA) on NaB3Ir3 after structural relaxation.

Summary:
E above lowest polymorph = 0 meV/atom

Unit cell a=5.8551 b=5.8551 c=5.8551 alpha=90.00 beta=90.00 gamma=90.00
Last column: nearest neighbours and their distance in Å.
Positions (direct):
Na (0.5000, 0.5000, 0.5000)  12 B 3.27, 12 Ir 3.27
Na (0.0000, 0.0000, 0.0000)  12 B 3.27, 12 Ir 3.27
B (0.0000, 0.2500, 0.5000)  4 Ir 2.07
B (0.0000, 0.7500, 0.5000)  4 Ir 2.07
B (0.5000, 0.0000, 0.7500)  4 Ir 2.07
B (0.7500, 0.5000, 0.0000)  4 Ir 2.07
B (0.5000, 0.0000, 0.2500)  4 Ir 2.07
B (0.2500, 0.5000, 0.0000)  4 Ir 2.07
Ir (0.2500, 0.0000, 0.5000)  4 B 2.07
Ir (0.0000, 0.5000, 0.2500)  4 B 2.07
Ir (0.5000, 0.7500, 0.0000)  4 B 2.07
Ir (0.7500, 0.0000, 0.5000)  4 B 2.07
Ir (0.0000, 0.5000, 0.7500)  4 B 2.07
Ir (0.5000, 0.2500, 0.0000)  4 B 2.07



VASP calculation (PBE-GGA) on Na2B4Ir5 after structural relaxation.

Summary:
total energy = -6.9365 eV/atom

Unit cell a=5.5678 b=5.6439 c=6.2545 alpha=77.32 beta=63.57 gamma=60.45
Last column: nearest neighbours and their distance in Å.
Positions (direct):
Na (0.8642, 0.0000, 0.2716)  1 Na 3.04, 8 B 3.05-3.32, 10 Ir 3.10-3.21
Na (0.1358, 0.0000, 0.7284)  1 Na 3.04, 8 B 3.05-3.32, 10 Ir 3.10-3.21
B (0.4697, 0.3242, 0.7364)  5 Ir 2.11-2.21
B (0.5303, 0.6758, 0.2636)  5 Ir 2.11-2.21
B (0.2061, 0.3242, 0.2636)  5 Ir 2.11-2.21
B (0.7939, 0.6758, 0.7364)  5 Ir 2.11-2.21
Ir (0.5000, 0.0000, 0.0000)  4 B 2.17
Ir (0.0000, 0.5000, 0.0000)  4 B 2.21
Ir (0.5000, 0.5000, 0.0000)  4 B 2.21
Ir (0.2500, 0.5000, 0.5000)  4 B 2.11
Ir (0.7500, 0.5000, 0.5000)  4 B 2.11



VASP calculation (PBE-GGA) on NaBIrO5 after structural relaxation.

Summary:
energy relative to the elements, uncorrected = -1345 meV/atom

Unit cell a=5.2270 b=5.2270 c=7.0711 alpha=105.71 beta=105.71 gamma=105.27
Last column: nearest neighbours and their distance in Å.
Positions (direct):
Na (0.3438, 0.6562, 0.2500)  5 O 2.18-2.32
Na (0.6562, 0.3438, 0.7500)  5 O 2.18-2.32
B (0.6933, 0.3067, 0.2500)  4 O 1.47-1.51
B (0.3067, 0.6933, 0.7500)  4 O 1.47-1.51
Ir (0.0000, 0.0000, 0.5000)  6 O 1.89-1.98
Ir (0.0000, 0.0000, 0.0000)  6 O 1.89-1.98
O (0.0812, 0.9188, 0.2500)  2 Ir 1.89
O (0.9188, 0.0812, 0.7500)  2 Ir 1.89
O (0.8908, 0.3165, 0.1365)  1 B 1.47
O (0.1092, 0.6835, 0.8635)  1 B 1.47
O (0.6835, 0.1092, 0.3635)  1 B 1.47
O (0.3165, 0.8908, 0.6365)  1 B 1.47
O (0.7556, 0.5978, 0.4065)  1 B 1.51
O (0.2444, 0.4022, 0.5935)  1 B 1.51
O (0.4022, 0.2444, 0.0935)  1 B 1.51
O (0.5978, 0.7556, 0.9065)  1 B 1.51



VASP calculation (PBE-GGA) on NaBIrPd2 after structural relaxation.

Summary:
total energy = -5.5185 eV/atom

Unit cell a=4.2632 b=4.2632 c=4.1137 alpha=90.00 beta=90.00 gamma=90.00
Last column: nearest neighbours and their distance in Å.
Positions (direct):
Na (0.5000, 0.5000, 0.5000)  8 Pd 2.96, 4 Ir 3.01
B (0.0000, 0.0000, 0.0000)  2 Ir 2.06, 4 Pd 2.13
Ir (0.0000, 0.0000, 0.5000)  2 B 2.06
Pd (0.0000, 0.5000, 0.0000)  2 B 2.13
Pd (0.5000, 0.0000, 0.0000)  2 B 2.13



VASP calculation (PBE-GGA) on NaB6Ir2Pt2 after structural relaxation.

Summary:
total energy = -6.4618 eV/atom

Unit cell a=4.9331 b=6.1900 c=5.3609 alpha=101.72 beta=87.83 gamma=69.09
Last column: nearest neighbours and their distance in Å.
Positions (direct):
Na (0.5000, 0.0000, 0.5000)  4 B 2.59-2.66
B (0.5120, 0.6567, 0.0084)  1 B 1.65
B (0.1541, 0.3409, 0.9909)  1 B 1.65
B (0.9701, 0.0628, 0.3631)  1 B 1.78
B (0.8459, 0.6591, 0.0091)  1 B 1.65
B (0.0299, 0.9372, 0.6369)  1 B 1.78
B (0.4880, 0.3433, 0.9916)  1 B 1.65
Ir (0.8504, 0.2985, 0.7340)  4 B 2.03-2.13
Ir (0.1496, 0.7015, 0.2660)  4 B 2.03-2.13
Pt (0.2070, 0.6203, 0.7341)  3 B 2.03-2.18
Pt (0.7930, 0.3797, 0.2659)  3 B 2.03-2.18



VASP calculation (PBE-GGA) on NaB2IrRh after structural relaxation.

Summary:
E above lowest polymorph = 0 meV/atom

Unit cell a=3.9369 b=3.9369 c=5.8085 alpha=109.81 beta=109.81 gamma=90.00
Last column: nearest neighbours and their distance in Å.
Positions (direct):
Na (0.0000, 0.0000, 0.0000)  4 Ir 3.22, 4 Rh 3.22, 10 B 3.25-3.34
B (0.6812, 0.6812, 0.3624)  2 Ir 2.09, 2 Rh 2.09
B (0.3188, 0.3188, 0.6376)  2 Rh 2.09, 2 Ir 2.09
Ir (0.2500, 0.7500, 0.5000)  4 B 2.09
Rh (0.7500, 0.2500, 0.5000)  4 B 2.09



VASP calculation (PBE-GGA) on NaB2IrRh after structural relaxation.

Summary:
E above lowest polymorph = 977 meV/atom

Unit cell a=4.0738 b=5.1205 c=4.0738 alpha=90.00 beta=90.00 gamma=90.00
Last column: nearest neighbours and their distance in Å.
Positions (direct):
Na (0.5000, 0.5000, 0.5000)  4 Rh 2.88
B (0.0000, 0.0000, 0.5000)  2 Ir 2.04
B (0.5000, 0.0000, 0.0000)  2 Ir 2.04
Ir (0.0000, 0.0000, 0.0000)  4 B 2.04
Rh (0.0000, 0.5000, 0.0000)  2 Ir 2.56



VASP calculation (PBE-GGA) on NaSc2BIr after structural relaxation.

Summary:
total energy = -5.5270 eV/atom

Unit cell a=4.6072 b=4.4036 c=4.6072 alpha=90.00 beta=90.00 gamma=90.00
Last column: nearest neighbours and their distance in Å.
Positions (direct):
Sc (0.0000, 0.0000, 0.5000)  2 B 2.30
Sc (0.5000, 0.0000, 0.0000)  2 B 2.30
Na (0.0000, 0.5000, 0.0000)  2 B 2.20
B (0.0000, 0.0000, 0.0000)  2 Na 2.20, 4 Sc 2.30
Ir (0.5000, 0.5000, 0.5000)  8 Sc 3.19, 4 Na 3.26